Record 1
{
  "formula": "Pr2BiPt",
  "functional": "PBE",
  "state": "optimized geometry",
  "lattice": [[3.722, 0.000, 0.000], [0.000, 3.722, 0.000], [0.000, 0.000, 8.052]],
  "species": ["Pr", "Pr", "Bi", "Pt"],
  "fractional_positions": [[0.000, 0.000, 0.215], [0.000, 0.000, 0.785], [0.500, 0.500, 0.500], [0.500, 0.500, 0.000]],
  "e_form_ev_per_atom": -0.835,
  "relative_energy_ev_per_fu": 0.19,
  "sg": "P4/mmm, No. 123"
}

Record 2
{
  "formula": "PrBiPt5",
  "functional": "PBE",
  "state": "optimized geometry",
  "lattice": [[8.967, 0.000, 0.000], [0.000, 5.580, 0.000], [0.000, 0.000, 11.114]],
  "species": ["Pr", "Pr", "Pr", "Pr", "Bi", "Bi", "Bi", "Bi", "Pt", "Pt", "Pt", "Pt", "Pt", "Pt", "Pt", "Pt", "Pt", "Pt", "Pt", "Pt", "Pt", "Pt", "Pt", "Pt", "Pt", "Pt", "Pt", "Pt"],
  "fractional_positions": [[0.243, 0.250, 0.053], [0.257, 0.750, 0.553], [0.743, 0.250, 0.447], [0.757, 0.750, 0.947], [0.138, 0.250, 0.354], [0.362, 0.750, 0.854], [0.638, 0.250, 0.146], [0.862, 0.750, 0.646], [0.079, 0.503, 0.812], [0.079, 0.997, 0.812], [0.085, 0.250, 0.593], [0.090, 0.750, 0.024], [0.168, 0.750, 0.265], [0.332, 0.250, 0.765], [0.410, 0.250, 0.524], [0.415, 0.750, 0.093], [0.421, 0.003, 0.312], [0.421, 0.497, 0.312], [0.579, 0.503, 0.688], [0.579, 0.997, 0.688], [0.585, 0.250, 0.907], [0.590, 0.750, 0.476], [0.668, 0.750, 0.235], [0.832, 0.250, 0.735], [0.910, 0.250, 0.976], [0.915, 0.750, 0.407], [0.921, 0.003, 0.188], [0.921, 0.497, 0.188]],
  "e_form_ev_per_atom": -0.534,
  "sg": "Pnma, No. 62"
}

Repeat the second record exactly.
{
  "formula": "PrBiPt5",
  "functional": "PBE",
  "state": "optimized geometry",
  "lattice": [[8.967, 0.000, 0.000], [0.000, 5.580, 0.000], [0.000, 0.000, 11.114]],
  "species": ["Pr", "Pr", "Pr", "Pr", "Bi", "Bi", "Bi", "Bi", "Pt", "Pt", "Pt", "Pt", "Pt", "Pt", "Pt", "Pt", "Pt", "Pt", "Pt", "Pt", "Pt", "Pt", "Pt", "Pt", "Pt", "Pt", "Pt", "Pt"],
  "fractional_positions": [[0.243, 0.250, 0.053], [0.257, 0.750, 0.553], [0.743, 0.250, 0.447], [0.757, 0.750, 0.947], [0.138, 0.250, 0.354], [0.362, 0.750, 0.854], [0.638, 0.250, 0.146], [0.862, 0.750, 0.646], [0.079, 0.503, 0.812], [0.079, 0.997, 0.812], [0.085, 0.250, 0.593], [0.090, 0.750, 0.024], [0.168, 0.750, 0.265], [0.332, 0.250, 0.765], [0.410, 0.250, 0.524], [0.415, 0.750, 0.093], [0.421, 0.003, 0.312], [0.421, 0.497, 0.312], [0.579, 0.503, 0.688], [0.579, 0.997, 0.688], [0.585, 0.250, 0.907], [0.590, 0.750, 0.476], [0.668, 0.750, 0.235], [0.832, 0.250, 0.735], [0.910, 0.250, 0.976], [0.915, 0.750, 0.407], [0.921, 0.003, 0.188], [0.921, 0.497, 0.188]],
  "e_form_ev_per_atom": -0.534,
  "sg": "Pnma, No. 62"
}